# 1
# Lu2Hf4Bi3C3 | OQMD | PBE-GGA | relaxed
# * crystal system: monoclinic
# * total energy: -8.00 eV per atom
data_Lu2Hf4Bi3C3
_space_group_name_H-M_alt 'C 1 2/c 1'
_space_group_IT_number 15
_cell_length_a 10.401
_cell_length_b 6.007
_cell_length_c 15.096
_cell_angle_alpha 90.00
_cell_angle_beta 103.36
_cell_angle_gamma 90.00
loop_
_space_group_symop_operation_xyz
'x,y,z'
'-x,-y,-z'
'-x,y,-z+1/2'
'x,-y,z+1/2'
'x+1/2,y+1/2,z'
'-x+1/2,-y+1/2,-z'
'-x+1/2,y+1/2,-z+1/2'
'x+1/2,-y+1/2,z+1/2'
loop_
_atom_site_label
_atom_site_type_symbol
_atom_site_fract_x
_atom_site_fract_y
_atom_site_fract_z
Lu1 Lu 0.051 0.081 0.412
Hf1 Hf 0.110 0.411 0.579
Hf2 Hf 0.226 0.420 0.921
Bi1 Bi 0.000 0.432 0.250
Bi2 Bi 0.174 0.089 0.751
C1 C 0.087 0.260 0.000
C2 C 0.250 0.250 0.500

# 2
# Tb5DySe6 | OQMD | PBE-GGA | relaxed
# * crystal system: monoclinic
# * total energy: -5.82 eV per atom
data_Tb5DySe6
_space_group_name_H-M_alt 'C 1 2/m 1'
_space_group_IT_number 12
_cell_length_a 7.071
_cell_length_b 12.282
_cell_length_c 7.059
_cell_angle_alpha 90.00
_cell_angle_beta 109.62
_cell_angle_gamma 90.00
loop_
_space_group_symop_operation_xyz
'x,y,z'
'-x,-y,-z'
'-x,y,-z'
'x,-y,z'
'x+1/2,y+1/2,z'
'-x+1/2,-y+1/2,-z'
'-x+1/2,y+1/2,-z'
'x+1/2,-y+1/2,z'
loop_
_atom_site_label
_atom_site_type_symbol
_atom_site_fract_x
_atom_site_fract_y
_atom_site_fract_z
Tb1 Tb 0.000 0.000 0.000
Tb2 Tb 0.000 0.167 0.500
Tb3 Tb 0.000 0.332 0.000
Dy1 Dy 0.000 0.500 0.500
Se1 Se 0.249 0.334 0.749
Se2 Se 0.249 0.500 0.250

Which of these has the lowest total energy? Lu2Hf4Bi3C3

total energy of number 1 (Lu2Hf4Bi3C3)? -8.00 eV per atom

Which value of total energy does entry 2 give? -5.82 eV per atom